Compound: TcMoW2
Source: the Alexandria database
Functional: PBEsol
Structure: optimized geometry

Properties
* electronic total energy: -0.9272 Ry/atom
* calculated volume: 15.2 Å³/atom
* crystal system: tetragonal
* energy of formation: 48 meV/atom

Cell lengths 3.1210, 3.1210, 6.2555 Å; angles 90.00, 90.00, 90.00 degrees
Space group P4mm (No. 99)
Unique sites:
Tc (0.0000, 0.0000, 0.0000) (multiplicity 1)
Mo (0.5000, 0.5000, 0.7370) (multiplicity 1)
W (0.0000, 0.0000, 0.4968) (multiplicity 1)
W (0.5000, 0.5000, 0.2398) (multiplicity 1)